{
  "formula": "Ca2SiSn",
  "functional": "PBE",
  "state": "optimized geometry",
  "cell": [[0.000, 3.736, 3.736], [3.736, 0.000, 3.736], [3.736, 3.736, 0.000]],
  "species": ["Ca", "Ca", "Si", "Sn"],
  "fractional_positions": [[0.250, 0.250, 0.250], [0.750, 0.750, 0.750], [0.000, 0.000, 0.000], [0.500, 0.500, 0.500]],
  "polymorph_energy_kj_per_mol_fu": 26
}



{
  "formula": "CaSi2Sn2",
  "functional": "PBE",
  "state": "optimized geometry",
  "cell": [[-2.624, 2.624, 4.397], [2.624, -2.624, 4.397], [2.624, 2.624, -4.397]],
  "species": ["Ca", "Si", "Si", "Sn", "Sn"],
  "fractional_positions": [[0.000, 0.000, 0.000], [0.363, 0.363, 0.000], [0.637, 0.637, 0.000], [0.250, 0.750, 0.500], [0.750, 0.250, 0.500]],
  "polymorph_energy_kj_per_mol_fu": 8
}



{
  "formula": "Ca3Si2Sn2",
  "functional": "PBE",
  "state": "optimized geometry",
  "cell": [[-2.130, 2.314, 9.389], [2.130, -2.314, 9.389], [2.130, 2.314, -9.389]],
  "species": ["Ca", "Ca", "Ca", "Si", "Si", "Sn", "Sn"],
  "fractional_positions": [[0.000, 0.000, 0.000], [0.179, 0.679, 0.500], [0.821, 0.321, 0.500], [0.437, 0.437, 0.000], [0.563, 0.563, 0.000], [0.352, 0.852, 0.500], [0.648, 0.148, 0.500]]
}



{
  "formula": "Ca3SiSn2",
  "functional": "PBE",
  "state": "optimized geometry",
  "cell": [[12.526, 0.000, 0.000], [0.000, 4.334, 0.000], [0.000, 0.000, 12.722]],
  "species": ["Ca", "Ca", "Ca", "Ca", "Ca", "Ca", "Ca", "Ca", "Ca", "Ca", "Ca", "Ca", "Si", "Si", "Si", "Si", "Sn", "Sn", "Sn", "Sn", "Sn", "Sn", "Sn", "Sn"],
  "fractional_positions": [[0.062, 0.250, 0.122], [0.116, 0.750, 0.544], [0.217, 0.250, 0.779], [0.283, 0.750, 0.279], [0.384, 0.250, 0.044], [0.438, 0.750, 0.622], [0.562, 0.250, 0.378], [0.616, 0.750, 0.956], [0.717, 0.250, 0.721], [0.783, 0.750, 0.221], [0.884, 0.250, 0.456], [0.938, 0.750, 0.878], [0.141, 0.250, 0.354], [0.359, 0.750, 0.854], [0.641, 0.250, 0.146], [0.859, 0.750, 0.646], [0.015, 0.750, 0.314], [0.192, 0.750, 0.989], [0.308, 0.250, 0.489], [0.485, 0.250, 0.814], [0.515, 0.750, 0.186], [0.692, 0.750, 0.511], [0.808, 0.250, 0.011], [0.985, 0.250, 0.686]]
}



{
  "formula": "CaSi2Sn2",
  "functional": "PBE",
  "state": "optimized geometry",
  "cell": [[7.698, 0.000, 0.000], [0.000, 7.698, 0.000], [0.000, 0.000, 3.975]],
  "species": ["Ca", "Ca", "Si", "Si", "Si", "Si", "Sn", "Sn", "Sn", "Sn"],
  "fractional_positions": [[0.000, 0.000, 0.000], [0.500, 0.500, 0.000], [0.113, 0.387, 0.000], [0.387, 0.887, 0.000], [0.613, 0.113, 0.000], [0.887, 0.613, 0.000], [0.162, 0.662, 0.500], [0.338, 0.162, 0.500], [0.662, 0.838, 0.500], [0.838, 0.338, 0.500]],
  "polymorph_energy_kj_per_mol_fu": 0
}



{
  "formula": "Ca5Si2Sn",
  "functional": "PBE",
  "state": "optimized geometry",
  "cell": [[-3.886, 3.886, 7.560], [3.886, -3.886, 7.560], [3.886, 3.886, -7.560]],
  "species": ["Ca", "Ca", "Ca", "Ca", "Ca", "Ca", "Ca", "Ca", "Ca", "Ca", "Si", "Si", "Si", "Si", "Sn", "Sn"],
  "fractional_positions": [[0.000, 0.000, 0.000], [0.043, 0.543, 0.856], [0.186, 0.043, 0.500], [0.314, 0.814, 0.856], [0.457, 0.314, 0.500], [0.500, 0.500, 0.000], [0.543, 0.686, 0.500], [0.686, 0.186, 0.144], [0.814, 0.957, 0.500], [0.957, 0.457, 0.144], [0.112, 0.388, 0.500], [0.388, 0.888, 0.275], [0.612, 0.112, 0.725], [0.888, 0.612, 0.500], [0.250, 0.250, 0.000], [0.750, 0.750, 0.000]]
}



{
  "formula": "CaSi3Sn",
  "functional": "PBE",
  "state": "optimized geometry",
  "cell": [[5.174, 0.000, 0.000], [0.000, 5.174, 0.000], [0.000, 0.000, 5.174]],
  "species": ["Ca", "Si", "Si", "Si", "Sn"],
  "fractional_positions": [[0.000, 0.000, 0.000], [0.000, 0.500, 0.500], [0.500, 0.000, 0.500], [0.500, 0.500, 0.000], [0.500, 0.500, 0.500]],
  "polymorph_energy_kj_per_mol_fu": 0
}



{
  "formula": "Ca2SiSn",
  "functional": "PBE",
  "state": "optimized geometry",
  "cell": [[-4.161, 4.161, 3.239], [4.161, -4.161, 3.239], [4.161, 4.161, -3.239]],
  "species": ["Ca", "Ca", "Ca", "Ca", "Si", "Si", "Sn", "Sn"],
  "fractional_positions": [[0.099, 0.625, 0.974], [0.375, 0.349, 0.474], [0.651, 0.125, 0.026], [0.875, 0.901, 0.526], [0.000, 0.000, 0.000], [0.750, 0.250, 0.500], [0.250, 0.750, 0.500], [0.500, 0.500, 0.000]],
  "polymorph_energy_kj_per_mol_fu": 137
}



| no. | DOS at the Fermi energy (states/eV/f.u.) | formation energy without anion corrections (eV per atom) |
| --- | --- | --- |
| 1 | 1.98 | -0.3671 |
| 2 | 2.11 | -0.0300 |
| 3 | 3.92 | -0.4445 |
| 4 | 2.64 | -0.5106 |
| 5 | 1.73 | -0.0465 |
| 6 | 4.64 | -0.5914 |
| 7 | 3.29 | 0.7856 |
| 8 | 3.40 | -0.0806 |